Model w:
First-principles (PBE) data for a relaxed structure of TbNd6Y12, as listed in Alexandria.

Lattice parameters (Å, degrees): 8.741 8.741 8.741 79.71 79.71 79.71
Positions (direct):
Tb 0.000 0.000 0.000
Nd 0.770 0.770 0.164
Nd 0.836 0.230 0.230
Nd 0.230 0.836 0.230
Nd 0.230 0.230 0.836
Nd 0.164 0.770 0.770
Nd 0.770 0.164 0.770
Y 0.804 0.485 0.484
Y 0.484 0.804 0.485
Y 0.485 0.484 0.804
Y 0.196 0.515 0.516
Y 0.516 0.196 0.515
Y 0.515 0.516 0.196
Y 0.137 0.137 0.484
Y 0.863 0.516 0.863
Y 0.516 0.863 0.863
Y 0.863 0.863 0.516
Y 0.137 0.484 0.137
Y 0.484 0.137 0.137

Calculated values
The calculation puts the magnetization at 0.0 μB/cell. The density of states at the Fermi level comes out at 1.64 states/eV per atom. The calculation puts the density at 5.4 g cm⁻³.

=====

Model x:
First-principles (PBE) data for a relaxed structure of TbNd6Y12, as listed in Alexandria.

Lattice parameters (Å, degrees): 8.813 8.813 8.813 99.10 99.10 99.10
Positions (direct):
Tb 0.000 0.000 0.000
Nd 0.903 0.342 0.903
Nd 0.903 0.903 0.342
Nd 0.342 0.903 0.903
Nd 0.097 0.097 0.658
Nd 0.097 0.658 0.097
Nd 0.658 0.097 0.097
Y 0.758 0.242 0.500
Y 0.353 0.081 0.353
Y 0.353 0.353 0.081
Y 0.919 0.647 0.647
Y 0.647 0.647 0.919
Y 0.647 0.919 0.647
Y 0.500 0.758 0.242
Y 0.242 0.500 0.758
Y 0.242 0.758 0.500
Y 0.500 0.242 0.758
Y 0.758 0.500 0.242
Y 0.081 0.353 0.353

Calculated values
The calculation puts the magnetization at 0.0 μB/cell. The density of states at the Fermi level comes out at 1.79 states/eV per atom. The calculation puts the density at 5.3 g cm⁻³.

=====

Stability summary - winner: model w; margin: 0.091 eV/atom.

=====

Model w:
First-principles (PBE) data for a relaxed structure of Tb3Nd4Y2, as listed in Alexandria.

Lattice parameters (Å, degrees): 6.395 9.928 9.928 74.89 92.66 92.66
Positions (direct):
Tb 0.913 0.021 0.179
Tb 0.587 0.821 0.979
Tb 0.087 0.979 0.821
Tb 0.413 0.179 0.021
Tb 0.250 0.477 0.523
Tb 0.750 0.523 0.477
Nd 0.476 0.811 0.309
Nd 0.024 0.691 0.189
Nd 0.524 0.189 0.691
Nd 0.976 0.309 0.811
Nd 0.922 0.183 0.473
Nd 0.578 0.527 0.817
Nd 0.078 0.817 0.527
Nd 0.422 0.473 0.183
Y 0.406 0.131 0.365
Y 0.094 0.635 0.869
Y 0.594 0.869 0.635
Y 0.906 0.365 0.131

Calculated values
The calculation puts the magnetization at 0.0 μB/cell. The density of states at the Fermi level comes out at 1.57 states/eV per atom. The calculation puts the density at 6.7 g cm⁻³.

=====

Model x:
First-principles (PBE) data for a relaxed structure of Tb3Nd4Y2, as listed in Alexandria.

Lattice parameters (Å, degrees): 6.267 6.264 13.023 118.61 103.84 120.10
Positions (direct):
Tb 0.555 0.110 0.665
Tb 0.000 0.000 0.000
Tb 0.445 0.890 0.335
Nd 0.668 0.334 0.000
Nd 0.332 0.666 0.000
Nd 0.887 0.775 0.666
Nd 0.113 0.225 0.334
Y 0.779 0.558 0.334
Y 0.221 0.442 0.666

Calculated values
The calculation puts the magnetization at 0.0 μB/cell. The density of states at the Fermi level comes out at 1.36 states/eV per atom. The calculation puts the density at 6.8 g cm⁻³.

=====

Stability summary - winner: model x; margin: 0.124 eV/atom.

=====

Model w:
First-principles (PBE) data for a relaxed structure of Tb8Nd6Y, as listed in Alexandria.

Lattice parameters (Å, degrees): 9.172 9.172 8.763 58.45 58.45 60.00
Positions (direct):
Tb 0.252 0.282 0.579
Tb 0.718 0.112 0.421
Tb 0.112 0.748 0.421
Tb 0.577 0.577 0.269
Tb 0.423 0.423 0.731
Tb 0.888 0.252 0.579
Tb 0.282 0.888 0.579
Tb 0.748 0.718 0.421
Nd 0.462 0.898 0.871
Nd 0.102 0.231 0.129
Nd 0.231 0.538 0.129
Nd 0.769 0.462 0.871
Nd 0.898 0.769 0.871
Nd 0.538 0.102 0.129
Y 0.000 0.000 0.000

Calculated values
The calculation puts the magnetization at 0.0 μB/cell. The density of states at the Fermi level comes out at 1.44 states/eV per atom. The calculation puts the density at 7.3 g cm⁻³.

=====

Model x:
First-principles (PBE) data for a relaxed structure of Tb8Nd6Y, as listed in Alexandria.

Lattice parameters (Å, degrees): 6.586 9.439 9.439 120.00 90.00 90.00
Positions (direct):
Tb 0.656 0.092 0.436
Tb 0.656 0.564 0.656
Tb 0.656 0.344 0.908
Tb 0.344 0.908 0.564
Tb 0.344 0.436 0.344
Tb 0.344 0.656 0.092
Tb 0.117 0.333 0.667
Tb 0.883 0.667 0.333
Nd 0.837 0.744 0.032
Nd 0.837 0.968 0.712
Nd 0.837 0.288 0.256
Nd 0.163 0.256 0.968
Nd 0.163 0.032 0.288
Nd 0.163 0.712 0.744
Y 0.500 0.000 0.000

Calculated values
The calculation puts the magnetization at 0.0 μB/cell. The density of states at the Fermi level comes out at 1.41 states/eV per atom. The calculation puts the density at 7.3 g cm⁻³.

=====

Stability summary - winner: model w; margin: 0.056 eV/atom.

=====

Model w:
First-principles (PBE) data for a relaxed structure of Tb4NdY7, as listed in Alexandria.

Lattice parameters (Å, degrees): 5.895 11.661 6.745 82.80 64.09 75.36
Positions (direct):
Tb 0.636 0.225 0.504
Tb 0.364 0.775 0.496
Tb 0.755 0.681 0.810
Tb 0.245 0.319 0.190
Nd 0.000 0.000 0.000
Y 0.789 0.922 0.499
Y 0.211 0.078 0.501
Y 0.060 0.674 0.206
Y 0.940 0.326 0.794
Y 0.366 0.502 0.767
Y 0.500 0.000 0.000
Y 0.634 0.498 0.233

Calculated values
The calculation puts the magnetization at 0.0 μB/cell. The density of states at the Fermi level comes out at 1.84 states/eV per atom. The calculation puts the density at 5.8 g cm⁻³.

=====

Model x:
First-principles (PBE) data for a relaxed structure of Tb4NdY7, as listed in Alexandria.

Lattice parameters (Å, degrees): 6.842 8.798 9.112 83.37 94.06 47.49
Positions (direct):
Tb 0.548 0.639 0.285
Tb 0.452 0.361 0.715
Tb 0.777 0.839 0.690
Tb 0.223 0.161 0.310
Nd 0.000 0.000 0.000
Y 0.736 0.515 0.950
Y 0.264 0.485 0.050
Y 0.988 0.320 0.638
Y 0.012 0.680 0.362
Y 0.297 0.811 0.613
Y 0.500 0.000 0.000
Y 0.703 0.189 0.387

Calculated values
The calculation puts the magnetization at 0.0 μB/cell. The density of states at the Fermi level comes out at 1.81 states/eV per atom. The calculation puts the density at 5.9 g cm⁻³.

=====

Stability summary - winner: model x; margin: 0.195 eV/atom.

=====

Model w:
First-principles (PBE) data for a relaxed structure of Tb5NdY2, as listed in Alexandria.

Lattice parameters (Å, degrees): 8.900 16.522 11.222 90.00 90.00 161.10
Positions (direct):
Tb 0.375 0.045 0.922
Tb 0.375 0.045 0.578
Tb 0.489 0.685 0.423
Tb 0.489 0.685 0.077
Tb 0.554 0.317 0.250
Tb 0.446 0.683 0.750
Tb 0.511 0.315 0.577
Tb 0.511 0.315 0.923
Tb 0.625 0.955 0.078
Tb 0.625 0.955 0.422
Nd 0.333 0.840 0.750
Nd 0.667 0.160 0.250
Y 0.696 0.579 0.384
Y 0.696 0.579 0.116
Y 0.304 0.421 0.616
Y 0.304 0.421 0.884

Calculated values
The calculation puts the magnetization at 0.0 μB/cell. The density of states at the Fermi level comes out at 1.64 states/eV per atom. The calculation puts the density at 6.9 g cm⁻³.

=====

Model x:
First-principles (PBE) data for a relaxed structure of Tb5NdY2, as listed in Alexandria.

Lattice parameters (Å, degrees): 5.050 7.165 14.332 90.00 90.00 90.00
Positions (direct):
Tb 0.000 0.000 0.000
Tb 0.000 0.500 0.500
Tb 0.000 0.500 0.749
Tb 0.000 0.500 0.251
Tb 0.000 0.000 0.249
Tb 0.000 0.000 0.751
Tb 0.500 0.249 0.874
Tb 0.500 0.751 0.126
Tb 0.500 0.251 0.374
Tb 0.500 0.749 0.626
Nd 0.000 0.000 0.500
Nd 0.000 0.500 0.000
Y 0.500 0.251 0.626
Y 0.500 0.749 0.374
Y 0.500 0.249 0.126
Y 0.500 0.751 0.874

Calculated values
The calculation puts the magnetization at 0.0 μB/cell. The density of states at the Fermi level comes out at 1.30 states/eV per atom. The calculation puts the density at 7.2 g cm⁻³.

=====

Stability summary - winner: model x; margin: 0.174 eV/atom.

=====

Model w:
First-principles (PBE) data for a relaxed structure of Tb6Nd12Y, as listed in Alexandria.

Lattice parameters (Å, degrees): 9.299 9.299 9.299 106.74 106.74 106.74
Positions (direct):
Tb 0.079 0.191 0.452
Tb 0.809 0.548 0.921
Tb 0.548 0.921 0.809
Tb 0.921 0.809 0.548
Tb 0.191 0.452 0.079
Tb 0.452 0.079 0.191
Nd 0.485 0.192 0.582
Nd 0.192 0.582 0.485
Nd 0.582 0.485 0.192
Nd 0.515 0.808 0.418
Nd 0.808 0.418 0.515
Nd 0.418 0.515 0.808
Nd 0.280 0.130 0.824
Nd 0.176 0.720 0.870
Nd 0.870 0.176 0.720
Nd 0.720 0.870 0.176
Nd 0.824 0.280 0.130
Nd 0.130 0.824 0.280
Y 0.000 0.000 0.000

Calculated values
The calculation puts the magnetization at 0.0 μB/cell. The density of states at the Fermi level comes out at 1.58 states/eV per atom. The calculation puts the density at 6.8 g cm⁻³.

=====

Model x:
First-principles (PBE) data for a relaxed structure of Tb6Nd12Y, as listed in Alexandria.

Lattice parameters (Å, degrees): 8.713 8.713 8.713 88.99 88.99 88.99
Positions (direct):
Tb 0.740 0.902 0.299
Tb 0.701 0.260 0.098
Tb 0.098 0.701 0.260
Tb 0.260 0.098 0.701
Tb 0.299 0.740 0.902
Tb 0.902 0.299 0.740
Nd 0.780 0.537 0.433
Nd 0.433 0.780 0.537
Nd 0.537 0.433 0.780
Nd 0.220 0.463 0.567
Nd 0.567 0.220 0.463
Nd 0.463 0.567 0.220
Nd 0.017 0.195 0.362
Nd 0.805 0.638 0.983
Nd 0.638 0.983 0.805
Nd 0.983 0.805 0.638
Nd 0.195 0.362 0.017
Nd 0.362 0.017 0.195
Y 0.000 0.000 0.000

Calculated values
The calculation puts the magnetization at 0.0 μB/cell. The density of states at the Fermi level comes out at 1.69 states/eV per atom. The calculation puts the density at 7.0 g cm⁻³.

=====

Stability summary - winner: model x; margin: 0.098 eV/atom.

=====

Model w:
First-principles (PBE) data for a relaxed structure of Tb2Nd2Y, as listed in Alexandria.

Lattice parameters (Å, degrees): 5.971 5.971 6.438 117.63 117.62 90.00
Positions (direct):
Tb 0.353 0.353 0.705
Tb 0.647 0.647 0.295
Nd 0.750 0.250 0.500
Nd 0.250 0.750 0.500
Y 0.000 0.000 0.000

Calculated values
The calculation puts the magnetization at 0.0 μB/cell. The density of states at the Fermi level comes out at 1.22 states/eV per atom. The calculation puts the density at 6.7 g cm⁻³.

=====

Model x:
First-principles (PBE) data for a relaxed structure of Tb2Nd2Y, as listed in Alexandria.

Lattice parameters (Å, degrees): 6.361 8.595 9.706 43.43 70.87 68.28
Positions (direct):
Tb 0.820 0.244 0.951
Tb 0.016 0.256 0.549
Tb 0.180 0.756 0.049
Tb 0.984 0.744 0.451
Nd 0.787 0.754 0.846
Nd 0.387 0.746 0.654
Nd 0.213 0.246 0.154
Nd 0.613 0.254 0.346
Y 0.584 0.750 0.250
Y 0.416 0.250 0.750

Calculated values
The calculation puts the magnetization at 0.0 μB/cell. The density of states at the Fermi level comes out at 1.78 states/eV per atom. The calculation puts the density at 6.8 g cm⁻³.

=====

Stability summary - winner: model x; margin: 0.447 eV/atom.

=====

Model w:
First-principles (PBE) data for a relaxed structure of TbNd5Y2, as listed in Alexandria.

Lattice parameters (Å, degrees): 9.855 9.855 13.435 44.99 44.99 76.52
Positions (direct):
Tb 0.760 0.240 0.250
Tb 0.240 0.760 0.750
Nd 0.507 0.493 0.750
Nd 0.493 0.507 0.250
Nd 0.451 0.978 0.774
Nd 0.999 0.982 0.133
Nd 0.978 0.451 0.274
Nd 0.018 0.001 0.367
Nd 0.982 0.999 0.633
Nd 0.001 0.018 0.867
Nd 0.022 0.549 0.726
Nd 0.549 0.022 0.226
Y 0.500 0.000 0.000
Y 0.500 0.500 0.000
Y 0.500 0.500 0.500
Y 0.000 0.500 0.500

Calculated values
The calculation puts the magnetization at 0.0 μB/cell. The density of states at the Fermi level comes out at 1.68 states/eV per atom. The calculation puts the density at 6.4 g cm⁻³.

=====

Model x:
First-principles (PBE) data for a relaxed structure of TbNd5Y2, as listed in Alexandria.

Lattice parameters (Å, degrees): 5.147 7.273 14.555 90.00 90.00 90.00
Positions (direct):
Tb 0.000 0.000 0.500
Tb 0.000 0.500 0.000
Nd 0.000 0.000 0.000
Nd 0.000 0.500 0.500
Nd 0.000 0.501 0.751
Nd 0.000 0.499 0.249
Nd 0.000 0.999 0.251
Nd 0.000 0.001 0.749
Nd 0.500 0.252 0.876
Nd 0.500 0.748 0.124
Nd 0.500 0.248 0.376
Nd 0.500 0.752 0.624
Y 0.500 0.251 0.624
Y 0.500 0.749 0.376
Y 0.500 0.249 0.124
Y 0.500 0.751 0.876

Calculated values
The calculation puts the magnetization at 0.0 μB/cell. The density of states at the Fermi level comes out at 1.50 states/eV per atom. The calculation puts the density at 6.4 g cm⁻³.

=====

Stability summary - winner: model x; margin: 0.194 eV/atom.